Entry 1:
Entry from Alexandria: crystalline Tm4PdRu2 at its relaxed geometry (PBE).

Summary:
For the formation energy, the calculation gives -0.477 eV/atom. As for the space-group type: No. 122.

Cell lengths 7.3484, 7.3484, 7.3484 Å; angles 109.23, 109.23, 109.96 degrees
Element x y z (fractional)
Tm  0.9996  0.3868  0.2505
Tm  0.1363  0.7492  0.7495
Tm  0.1368  0.2496  0.7505
Tm  0.2508  0.0004  0.3871
Tm  0.4992  0.3863  0.2495
Tm  0.6132  0.8637  0.6129
Tm  0.6137  0.8632  0.1129
Tm  0.7504  0.5008  0.8871
Pd  0.0000  0.0000  0.0000
Pd  0.7500  0.2500  0.5000
Ru  0.2270  0.6250  0.1020
Ru  0.3750  0.4770  0.6020
Ru  0.5230  0.1250  0.8980
Ru  0.8750  0.7730  0.3980

Entry 2:
Entry from Alexandria: crystalline Pu2HPb at its relaxed geometry (PBE).

Summary:
As for the space-group type: No. 166.

Cell lengths 6.6003, 6.6003, 6.6003 Å; angles 32.38, 32.38, 32.38 degrees
Element x y z (fractional)
Pu  0.1968  0.1968  0.1968
Pu  0.8032  0.8032  0.8032
H  0.5000  0.5000  0.5000
Pb  0.0000  0.0000  0.0000

Entry 3:
Entry from Alexandria: crystalline NaYCr2 at its relaxed geometry (PBE).

Summary:
For the formation energy, the calculation gives 0.868 eV/atom. As for the space-group type: No. 225.

Cell lengths 5.0764, 5.0764, 5.0764 Å; angles 60.00, 60.00, 60.00 degrees
Element x y z (fractional)
Na  0.0000  0.0000  0.0000
Y  0.5000  0.5000  0.5000
Cr  0.2500  0.2500  0.2500
Cr  0.7500  0.7500  0.7500

Entry 4:
Entry from Alexandria: crystalline ScZn8Co4 at its relaxed geometry (PBE).

Summary:
For the formation energy, the calculation gives -0.146 eV/atom. As for the space-group type: No. 139.

Cell lengths 6.5165, 6.5165, 6.5165 Å; angles 98.46, 98.46, 134.89 degrees
Element x y z (fractional)
Sc  0.0000  0.0000  0.0000
Zn  0.0000  0.3332  0.3332
Zn  0.0000  0.6668  0.6668
Zn  0.2789  0.5000  0.7789
Zn  0.3332  0.0000  0.3332
Zn  0.5000  0.2789  0.7789
Zn  0.5000  0.7211  0.2211
Zn  0.6668  0.0000  0.6668
Zn  0.7211  0.5000  0.2211
Co  0.0000  0.0000  0.5000
Co  0.0000  0.5000  0.0000
Co  0.5000  0.0000  0.0000
Co  0.5000  0.5000  0.5000

Entry 5:
Entry from Alexandria: crystalline Ce2CdPd9 at its relaxed geometry (PBE).

Summary:
For the formation energy, the calculation gives -0.663 eV/atom. As for the space-group type: No. 123.

Cell lengths 4.1291, 4.1291, 12.2422 Å; angles 90.00, 90.00, 90.00 degrees
Element x y z (fractional)
Ce  0.0000  0.0000  0.1742
Ce  0.0000  0.0000  0.8258
Cd  0.0000  0.0000  0.5000
Pd  0.0000  0.5000  0.0000
Pd  0.0000  0.5000  0.3342
Pd  0.0000  0.5000  0.6658
Pd  0.5000  0.0000  0.0000
Pd  0.5000  0.0000  0.3342
Pd  0.5000  0.0000  0.6658
Pd  0.5000  0.5000  0.1671
Pd  0.5000  0.5000  0.5000
Pd  0.5000  0.5000  0.8329

Entry 6:
Entry from Alexandria: crystalline Tb3NdPd at its relaxed geometry (PBE).

Summary:
For the formation energy, the calculation gives -0.325 eV/atom. As for the space-group type: No. 12.

Cell lengths 7.0038, 7.0038, 11.8744 Å; angles 94.54, 94.54, 30.77 degrees
Element x y z (fractional)
Tb  0.0379  0.0379  0.1446
Tb  0.2314  0.2314  0.8545
Tb  0.4275  0.4275  0.3599
Tb  0.5725  0.5725  0.6401
Tb  0.7686  0.7686  0.1455
Tb  0.9621  0.9621  0.8554
Nd  0.1652  0.1652  0.4057
Nd  0.8348  0.8348  0.5943
Pd  0.3957  0.3957  0.0358
Pd  0.6043  0.6043  0.9642

Entry 7:
Entry from Alexandria: crystalline Be3SbP at its relaxed geometry (PBE).

Summary:
As for the formation energy without anion corrections: 493 meV per atom. As for the space-group type: No. 221.

Cell lengths 4.2395, 4.2395, 4.2395 Å; angles 90.00, 90.00, 90.00 degrees
Element x y z (fractional)
Be  0.0000  0.0000  0.5000
Be  0.0000  0.5000  0.0000
Be  0.5000  0.0000  0.0000
Sb  0.5000  0.5000  0.5000
P  0.0000  0.0000  0.0000

Entry 8:
Entry from Alexandria: crystalline La4ReP at its relaxed geometry (PBE).

Summary:
For the formation energy, the calculation gives 0.848 eV/atom. As for the space-group type: No. 216.

Cell lengths 6.1261, 6.1261, 6.1261 Å; angles 60.00, 60.00, 60.00 degrees
Element x y z (fractional)
La  0.3758  0.3758  0.3758
La  0.3758  0.3758  0.8727
La  0.3758  0.8727  0.3758
La  0.8727  0.3758  0.3758
Re  0.7500  0.7500  0.7500
P  0.0000  0.0000  0.0000

Magnetization / μB per atom: 0.00; 0.00; 2.03; 0.29; 0.00; 0.00; 0.00; 0.00
Total energy / Ha/atom: -0.236; -0.320; -0.216; -0.132; -0.207; -0.187; -0.134; -0.199